Compound: HfCo2Au
Source: Alexandria
Functional: PBE
Structure: optimized geometry

Cell: 3.9955 3.9955 3.6146 Å, 90.00 90.00 90.00°
Sites, in units of the cell vectors:
Hf  0.0000  0.0000  0.0000
Co  0.0000  0.5000  0.5000
Co  0.5000  0.0000  0.5000
Au  0.5000  0.5000  0.0000

Distance to the lowest polymorph of the same formula ... 0.000 kcal/mol of atoms
Mass density ... 14196 kg/m³
Magnetic moment ... 0.8 μB/f.u.
Formation energy ... -0.2947 eV/atom

***

Compound: Hf6CoAu2
Source: Alexandria
Functional: PBE
Structure: optimized geometry

Cell: 7.8358 7.8358 3.3500 Å, 90.00 90.00 120.00°
Sites, in units of the cell vectors:
Hf  0.0000  0.2413  0.0000
Hf  0.0000  0.6011  0.5000
Hf  0.2413  0.0000  0.0000
Hf  0.3989  0.3989  0.5000
Hf  0.6011  0.0000  0.5000
Hf  0.7587  0.7587  0.0000
Co  0.0000  0.0000  0.5000
Au  0.3333  0.6667  0.0000
Au  0.6667  0.3333  0.0000

Distance to the lowest polymorph of the same formula ... 0.000 kcal/mol of atoms
Mass density ... 14204 kg/m³
Magnetic moment ... 0.0 μB/f.u.
Formation energy ... -0.3329 eV/atom

***

Compound: HfCoAu3
Source: Alexandria
Functional: PBE
Structure: optimized geometry

Cell: 5.1707 5.1707 5.1707 Å, 90.00 90.00 90.00°
Sites, in units of the cell vectors:
Hf  0.0000  0.0000  0.0000
Co  0.5000  0.5000  0.5000
Au  0.0000  0.0000  0.5000
Au  0.0000  0.5000  0.0000
Au  0.5000  0.0000  0.0000

Distance to the lowest polymorph of the same formula ... 10.109 kcal/mol of atoms
Mass density ... 9949 kg/m³
Magnetic moment ... 2.4 μB/f.u.
Formation energy ... 1.1456 eV/atom

***

Compound: HfCo2Au
Source: Alexandria
Functional: PBE
Structure: optimized geometry

Cell: 4.3509 4.3509 4.3509 Å, 60.00 60.00 60.00°
Sites, in units of the cell vectors:
Hf  0.0000  0.0000  0.0000
Co  0.2500  0.2500  0.2500
Co  0.7500  0.7500  0.7500
Au  0.5000  0.5000  0.5000

Distance to the lowest polymorph of the same formula ... 3.007 kcal/mol of atoms
Mass density ... 14065 kg/m³
Magnetic moment ... 0.7 μB/f.u.
Formation energy ... -0.1642 eV/atom

***

Compound: HfCoAu
Source: Alexandria
Functional: PBE
Structure: optimized geometry

Cell: 4.3307 4.3307 3.1439 Å, 90.00 90.00 120.00°
Sites, in units of the cell vectors:
Hf  0.0000  0.0000  0.0000
Co  0.6667  0.3333  0.5000
Au  0.3333  0.6667  0.5000

Mass density ... 14126 kg/m³
Magnetic moment ... 1.1 μB/f.u.
Formation energy ... -0.1563 eV/atom

***

Compound: HfCoAu2
Source: Alexandria
Functional: PBE
Structure: optimized geometry

Cell: 5.8592 5.8592 5.8592 Å, 101.87 101.87 126.06°
Sites, in units of the cell vectors:
Hf  0.0000  0.0000  0.0000
Hf  0.7500  0.2500  0.5000
Co  0.2500  0.7500  0.5000
Co  0.5000  0.5000  0.0000
Au  0.1566  0.6250  0.0316
Au  0.3750  0.4066  0.5316
Au  0.5934  0.1250  0.9684
Au  0.8750  0.8434  0.4684

Mass density ... 14468 kg/m³
Magnetic moment ... 1.0 μB/f.u.
Formation energy ... 0.1055 eV/atom

***

Compound: HfCoAu3
Source: Alexandria
Functional: PBE
Structure: optimized geometry

Cell: 4.6852 4.6852 4.6852 Å, 90.00 90.00 90.00°
Sites, in units of the cell vectors:
Hf  0.0000  0.0000  0.0000
Co  0.5000  0.5000  0.5000
Au  0.0000  0.5000  0.5000
Au  0.5000  0.0000  0.5000
Au  0.5000  0.5000  0.0000

Distance to the lowest polymorph of the same formula ... 0.000 kcal/mol of atoms
Mass density ... 13374 kg/m³
Magnetic moment ... 0.0 μB/f.u.
Formation energy ... 0.7072 eV/atom

***

Compound: Hf12CoAu6
Source: Alexandria
Functional: PBE
Structure: optimized geometry

Cell: 7.7322 7.7322 7.7322 Å, 99.05 99.05 99.05°
Sites, in units of the cell vectors:
Hf  0.0323  0.9339  0.6897
Hf  0.0661  0.3103  0.9677
Hf  0.1923  0.5700  0.4296
Hf  0.3103  0.9677  0.0661
Hf  0.4296  0.1923  0.5700
Hf  0.4300  0.5704  0.8077
Hf  0.5700  0.4296  0.1923
Hf  0.5704  0.8077  0.4300
Hf  0.6897  0.0323  0.9339
Hf  0.8077  0.4300  0.5704
Hf  0.9339  0.6897  0.0323
Hf  0.9677  0.0661  0.3103
Co  0.0000  0.0000  0.0000
Au  0.1247  0.3049  0.6282
Au  0.3049  0.6282  0.1247
Au  0.3718  0.8753  0.6951
Au  0.6282  0.1247  0.3049
Au  0.6951  0.3718  0.8753
Au  0.8753  0.6951  0.3718

Mass density ... 12682 kg/m³
Magnetic moment ... 0.0 μB/f.u.
Formation energy ... 0.0251 eV/atom

***

Compound: Hf4CoAu
Source: Alexandria
Functional: PBE
Structure: optimized geometry

Cell: 6.9420 6.9420 5.4286 Å, 99.25 99.25 110.37°
Sites, in units of the cell vectors:
Hf  0.0852  0.7157  0.9491
Hf  0.1935  0.3660  0.6115
Hf  0.2843  0.9148  0.5509
Hf  0.3660  0.1935  0.1115
Hf  0.6340  0.8065  0.8885
Hf  0.7157  0.0852  0.4491
Hf  0.8065  0.6340  0.3885
Hf  0.9148  0.2843  0.0509
Co  0.0033  0.9967  0.2500
Co  0.9967  0.0033  0.7500
Au  0.3883  0.6117  0.2500
Au  0.6117  0.3883  0.7500

Mass density ... 13688 kg/m³
Magnetic moment ... 0.0 μB/f.u.
Formation energy ... -0.2848 eV/atom

***

Compound: Hf3Co8Au
Source: Alexandria
Functional: PBE
Structure: optimized geometry

Cell: 4.8370 4.8370 7.9587 Å, 90.00 90.00 120.00°
Sites, in units of the cell vectors:
Hf  0.0000  0.0000  0.0000
Hf  0.0000  0.0000  0.3818
Hf  0.3333  0.6667  0.8446
Co  0.0063  0.5032  0.1783
Co  0.3302  0.1651  0.6846
Co  0.4968  0.5032  0.1783
Co  0.4968  0.9937  0.1783
Co  0.6667  0.3333  0.4310
Co  0.6667  0.3333  0.9358
Co  0.8349  0.1651  0.6846
Co  0.8349  0.6698  0.6846
Au  0.3333  0.6667  0.4857

Mass density ... 12397 kg/m³
Magnetic moment ... 6.8 μB/f.u.
Formation energy ... -0.3239 eV/atom

***

Compound: Hf3Co2Au
Source: Alexandria
Functional: PBE
Structure: optimized geometry

Cell: 3.1750 3.1750 10.1457 Å, 90.00 90.00 90.00°
Sites, in units of the cell vectors:
Hf  0.0000  0.0000  0.0000
Hf  0.0000  0.0000  0.3091
Hf  0.0000  0.0000  0.6909
Co  0.5000  0.5000  0.1545
Co  0.5000  0.5000  0.8455
Au  0.5000  0.5000  0.5000

Mass density ... 13806 kg/m³
Magnetic moment ... 1.2 μB/f.u.
Formation energy ... -0.4025 eV/atom

***

Compound: HfCo3Au
Source: Alexandria
Functional: PBE
Structure: optimized geometry

Cell: 4.4962 4.4962 4.4962 Å, 90.00 90.00 90.00°
Sites, in units of the cell vectors:
Hf  0.0000  0.0000  0.0000
Co  0.0000  0.0000  0.5000
Co  0.0000  0.5000  0.0000
Co  0.5000  0.0000  0.0000
Au  0.5000  0.5000  0.5000

Distance to the lowest polymorph of the same formula ... 1.234 kcal/mol of atoms
Mass density ... 10089 kg/m³
Magnetic moment ... 2.1 μB/f.u.
Formation energy ... 1.3468 eV/atom